# GGA+U Nb2VF, optimized geometry
# ρ ... 6.89 g/cm3
# Calculated total energy ... -6.773 eV/atom
# Space-group type ... Fm-3m
# Energy above the most stable polymorph in this dataset ... 0.2526 eV per atom
data_Nb2VF
_chemical_formula_sum 'Nb2 V1 F1'
_cell_length_a 4.434
_cell_length_b 4.434
_cell_length_c 4.434
_cell_angle_alpha 60.00
_cell_angle_beta 60.00
_cell_angle_gamma 60.00
_space_group_name_H-M_alt 'P 1'
_space_group_IT_number 1
_space_group_name_Hall 'P 1'
loop_
_atom_site_label
_atom_site_type_symbol
_atom_site_fract_x
_atom_site_fract_y
_atom_site_fract_z
_atom_site_occupancy
Nb1 Nb 0.750 0.750 0.750 1
Nb2 Nb 0.250 0.250 0.250 1
F1 F 0.000 0.000 0.000 1
V1 V 0.500 0.500 0.500 1